Record 1
! TcAsSeBr2 GGA-PBE optimized geometry; values from VASP
&SYSTEM
  ibrav = 0, nat = 5, ntyp = 4
/
ATOMIC_SPECIES
As 74.92 As.upf
Se 78.96 Se.upf
Tc 98.00 Tc.upf
Br 79.90 Br.upf
ATOMIC_POSITIONS crystal
As 0.0000 0.0000 0.0000
Se 0.0000 0.0000 0.5000
Tc 0.5000 0.5000 0.5000
Br 0.0000 0.5000 0.0000
Br 0.5000 0.0000 0.0000
CELL_PARAMETERS angstrom
-2.9343 -1.7423 -3.8929
-2.6696 -2.9347 3.3258
-3.4064 3.9866 0.7834
! theoretical density: 4.8 Mg/m³
! energy relative to the elements, uncorrected: 843 meV/atom


Record 2
! TcAsSeBr2 GGA-PBE optimized geometry; values from VASP
&SYSTEM
  ibrav = 0, nat = 5, ntyp = 4
/
ATOMIC_SPECIES
As 74.92 As.upf
Se 78.96 Se.upf
Tc 98.00 Tc.upf
Br 79.90 Br.upf
ATOMIC_POSITIONS crystal
As 0.0000 0.0000 0.5000
Se 0.5000 0.5000 0.5000
Tc 0.0000 0.0000 0.0000
Br 0.0000 0.5000 0.0000
Br 0.5000 0.0000 0.0000
CELL_PARAMETERS angstrom
4.9658 0.0000 0.0000
0.0000 4.9658 0.0000
0.0000 0.0000 4.9201
! theoretical density: 5.6 Mg/m³
! energy relative to the elements, uncorrected: 532 meV/atom


Record 3
! TeAs2SeBr GGA-PBE optimized geometry; values from VASP
&SYSTEM
  ibrav = 0, nat = 5, ntyp = 4
/
ATOMIC_SPECIES
As 74.92 As.upf
Te 127.60 Te.upf
Se 78.96 Se.upf
Br 79.90 Br.upf
ATOMIC_POSITIONS crystal
As 0.0000 0.5000 0.0000
As 0.5000 0.0000 0.0000
Te 0.0000 0.0000 0.0000
Se 0.0000 0.0000 0.5000
Br 0.5000 0.5000 0.5000
CELL_PARAMETERS angstrom
5.4677 0.0000 0.0000
0.0000 5.4677 0.0000
0.0000 0.0000 5.2937
! theoretical density: 4.6 Mg/m³
! energy relative to the elements, uncorrected: 854 meV/atom


Record 4
! TeAs2SeBr GGA-PBE optimized geometry; values from VASP
&SYSTEM
  ibrav = 0, nat = 5, ntyp = 4
/
ATOMIC_SPECIES
As 74.92 As.upf
Te 127.60 Te.upf
Se 78.96 Se.upf
Br 79.90 Br.upf
ATOMIC_POSITIONS crystal
As 0.0000 0.5000 0.0000
As 0.5000 0.0000 0.0000
Te 0.0000 0.0000 0.0000
Se 0.5000 0.5000 0.5000
Br 0.0000 0.0000 0.5000
CELL_PARAMETERS angstrom
-4.1933 -1.0357 -3.3755
-0.1048 -5.2019 1.7262
-3.4067 1.3369 3.8218
! theoretical density: 4.6 Mg/m³
! energy relative to the elements, uncorrected: 919 meV/atom


Record 5
! TeAs2SeBr GGA-PBE optimized geometry; values from VASP
&SYSTEM
  ibrav = 0, nat = 5, ntyp = 4
/
ATOMIC_SPECIES
As 74.92 As.upf
Te 127.60 Te.upf
Se 78.96 Se.upf
Br 79.90 Br.upf
ATOMIC_POSITIONS crystal
As 0.0000 0.5000 0.0000
As 0.5000 0.0000 0.0000
Te 0.5000 0.5000 0.5000
Se 0.0000 0.0000 0.5000
Br 0.0000 0.0000 0.0000
CELL_PARAMETERS angstrom
5.2434 0.0000 0.0000
0.0000 5.2434 0.0000
0.0000 0.0000 4.9410
! theoretical density: 5.3 Mg/m³
! energy relative to the elements, uncorrected: 1071 meV/atom


Record 6
! TeAs2SeBr GGA-PBE optimized geometry; values from VASP
&SYSTEM
  ibrav = 0, nat = 5, ntyp = 4
/
ATOMIC_SPECIES
As 74.92 As.upf
Te 127.60 Te.upf
Se 78.96 Se.upf
Br 79.90 Br.upf
ATOMIC_POSITIONS crystal
As 0.0000 0.5000 0.0000
As 0.5000 0.0000 0.0000
Te 0.5000 0.5000 0.5000
Se 0.0000 0.0000 0.0000
Br 0.0000 0.0000 0.5000
CELL_PARAMETERS angstrom
5.2354 0.0000 0.0000
0.0000 5.2354 0.0000
0.0000 0.0000 4.9750
! theoretical density: 5.3 Mg/m³
! energy relative to the elements, uncorrected: 665 meV/atom


Record 7
! TiAsSe2Br GGA-PBE optimized geometry; values from VASP
&SYSTEM
  ibrav = 0, nat = 5, ntyp = 4
/
ATOMIC_SPECIES
As 74.92 As.upf
Se 78.96 Se.upf
Br 79.90 Br.upf
Ti 47.87 Ti.upf
ATOMIC_POSITIONS crystal
As 0.0000 0.0000 0.5000
Se 0.0000 0.5000 0.0000
Se 0.5000 0.0000 0.0000
Br 0.0000 0.0000 0.0000
Ti 0.5000 0.5000 0.5000
CELL_PARAMETERS angstrom
-4.2010 2.1084 1.9173
-1.9778 -4.6159 0.7424
2.0241 -0.1308 4.5789
! theoretical density: 4.6 Mg/m³
! energy relative to the elements, uncorrected: 1046 meV/atom


Record 8
! TiAsSeBr2 GGA-PBE optimized geometry; values from VASP
&SYSTEM
  ibrav = 0, nat = 5, ntyp = 4
/
ATOMIC_SPECIES
As 74.92 As.upf
Se 78.96 Se.upf
Br 79.90 Br.upf
Ti 47.87 Ti.upf
ATOMIC_POSITIONS crystal
As 0.0000 0.0000 0.0000
Se 0.0000 0.0000 0.5000
Br 0.0000 0.5000 0.0000
Br 0.5000 0.0000 0.0000
Ti 0.5000 0.5000 0.5000
CELL_PARAMETERS angstrom
5.1529 0.0000 0.0000
0.0000 5.1529 0.0000
0.0000 0.0000 5.2959
! theoretical density: 4.3 Mg/m³
! energy relative to the elements, uncorrected: 486 meV/atom


Record 9
! TiAsSeBr2 GGA-PBE optimized geometry; values from VASP
&SYSTEM
  ibrav = 0, nat = 5, ntyp = 4
/
ATOMIC_SPECIES
As 74.92 As.upf
Se 78.96 Se.upf
Br 79.90 Br.upf
Ti 47.87 Ti.upf
ATOMIC_POSITIONS crystal
As 0.5000 0.5000 0.5000
Se 0.0000 0.0000 0.5000
Br 0.0000 0.5000 0.0000
Br 0.5000 0.0000 0.0000
Ti 0.0000 0.0000 0.0000
CELL_PARAMETERS angstrom
-2.5351 -2.7031 -3.5405
-3.4163 -1.4343 3.5412
-2.8291 4.0694 -1.0811
! theoretical density: 4.5 Mg/m³
! energy relative to the elements, uncorrected: -138 meV/atom


Record 10
! TiAsSeBr2 GGA-PBE optimized geometry; values from VASP
&SYSTEM
  ibrav = 0, nat = 5, ntyp = 4
/
ATOMIC_SPECIES
As 74.92 As.upf
Se 78.96 Se.upf
Br 79.90 Br.upf
Ti 47.87 Ti.upf
ATOMIC_POSITIONS crystal
As 0.0000 0.0000 0.5000
Se 0.5000 0.5000 0.5000
Br 0.0000 0.5000 0.0000
Br 0.5000 0.0000 0.0000
Ti 0.0000 0.0000 0.0000
CELL_PARAMETERS angstrom
-4.6657 -0.2327 1.2318
-0.5390 -3.9136 -2.7809
1.2783 -3.1886 4.2396
! theoretical density: 4.7 Mg/m³
! energy relative to the elements, uncorrected: -63 meV/atom


Record 11
! TiAsSe2Br GGA-PBE optimized geometry; values from VASP
&SYSTEM
  ibrav = 0, nat = 5, ntyp = 4
/
ATOMIC_SPECIES
As 74.92 As.upf
Se 78.96 Se.upf
Br 79.90 Br.upf
Ti 47.87 Ti.upf
ATOMIC_POSITIONS crystal
As 0.0000 0.0000 0.5000
Se 0.0000 0.5000 0.0000
Se 0.5000 0.0000 0.0000
Br 0.5000 0.5000 0.5000
Ti 0.0000 0.0000 0.0000
CELL_PARAMETERS angstrom
-1.3033 4.1176 2.1808
-4.5860 -1.5344 0.1564
0.8909 -2.1876 4.6628
! theoretical density: 4.9 Mg/m³
! energy relative to the elements, uncorrected: -127 meV/atom


Record 12
! TiAsSe2Br GGA-PBE optimized geometry; values from VASP
&SYSTEM
  ibrav = 0, nat = 5, ntyp = 4
/
ATOMIC_SPECIES
As 74.92 As.upf
Se 78.96 Se.upf
Br 79.90 Br.upf
Ti 47.87 Ti.upf
ATOMIC_POSITIONS crystal
As 0.0000 0.0000 0.0000
Se 0.0000 0.5000 0.0000
Se 0.5000 0.0000 0.0000
Br 0.0000 0.0000 0.5000
Ti 0.5000 0.5000 0.5000
CELL_PARAMETERS angstrom
5.1136 0.0000 0.0000
0.0000 5.1136 0.0000
0.0000 0.0000 5.0743
! theoretical density: 4.5 Mg/m³
! energy relative to the elements, uncorrected: 377 meV/atom


Record 13
! TiAsSe2Br GGA-PBE optimized geometry; values from VASP
&SYSTEM
  ibrav = 0, nat = 5, ntyp = 4
/
ATOMIC_SPECIES
As 74.92 As.upf
Se 78.96 Se.upf
Br 79.90 Br.upf
Ti 47.87 Ti.upf
ATOMIC_POSITIONS crystal
As 0.5000 0.5000 0.5000
Se 0.0000 0.5000 0.0000
Se 0.5000 0.0000 0.0000
Br 0.0000 0.0000 0.5000
Ti 0.0000 0.0000 0.0000
CELL_PARAMETERS angstrom
5.0109 0.0000 0.0000
0.0000 5.0109 0.0000
0.0000 0.0000 5.0470
! theoretical density: 4.7 Mg/m³
! energy relative to the elements, uncorrected: -60 meV/atom


Record 14
! TiAsSeBr2 GGA-PBE optimized geometry; values from VASP
&SYSTEM
  ibrav = 0, nat = 5, ntyp = 4
/
ATOMIC_SPECIES
As 74.92 As.upf
Se 78.96 Se.upf
Br 79.90 Br.upf
Ti 47.87 Ti.upf
ATOMIC_POSITIONS crystal
As 0.0000 0.0000 0.5000
Se 0.0000 0.0000 0.0000
Br 0.0000 0.5000 0.0000
Br 0.5000 0.0000 0.0000
Ti 0.5000 0.5000 0.5000
CELL_PARAMETERS angstrom
5.1313 0.0000 0.0000
0.0000 5.1313 0.0000
0.0000 0.0000 5.3282
! theoretical density: 4.3 Mg/m³
! energy relative to the elements, uncorrected: 787 meV/atom


Record 15
! TlAsSeBr2 GGA-PBE optimized geometry; values from VASP
&SYSTEM
  ibrav = 0, nat = 5, ntyp = 4
/
ATOMIC_SPECIES
As 74.92 As.upf
Tl 204.38 Tl.upf
Se 78.96 Se.upf
Br 79.90 Br.upf
ATOMIC_POSITIONS crystal
As 0.5000 0.5000 0.5000
Tl 0.0000 0.0000 0.0000
Se 0.0000 0.0000 0.5000
Br 0.0000 0.5000 0.0000
Br 0.5000 0.0000 0.0000
CELL_PARAMETERS angstrom
-2.4955 -3.4056 3.5611
-1.9296 -2.9975 -4.2188
4.6454 -3.2277 0.1685
! theoretical density: 5.0 Mg/m³
! energy relative to the elements, uncorrected: 478 meV/atom


Record 16
! TlAsSeBr2 GGA-PBE optimized geometry; values from VASP
&SYSTEM
  ibrav = 0, nat = 5, ntyp = 4
/
ATOMIC_SPECIES
As 74.92 As.upf
Tl 204.38 Tl.upf
Se 78.96 Se.upf
Br 79.90 Br.upf
ATOMIC_POSITIONS crystal
As 0.0000 0.0000 0.5000
Tl 0.0000 0.0000 0.0000
Se 0.5000 0.5000 0.5000
Br 0.0000 0.5000 0.0000
Br 0.5000 0.0000 0.0000
CELL_PARAMETERS angstrom
5.4509 0.0000 0.0000
0.0000 5.4509 0.0000
0.0000 0.0000 5.7815
! theoretical density: 5.0 Mg/m³
! energy relative to the elements, uncorrected: 596 meV/atom


Record 17
! TlAsSeBr2 GGA-PBE optimized geometry; values from VASP
&SYSTEM
  ibrav = 0, nat = 5, ntyp = 4
/
ATOMIC_SPECIES
As 74.92 As.upf
Tl 204.38 Tl.upf
Se 78.96 Se.upf
Br 79.90 Br.upf
ATOMIC_POSITIONS crystal
As 0.0000 0.0000 0.5000
Tl 0.5000 0.5000 0.5000
Se 0.0000 0.0000 0.0000
Br 0.0000 0.5000 0.0000
Br 0.5000 0.0000 0.0000
CELL_PARAMETERS angstrom
5.7351 0.0000 0.0000
0.0000 5.7351 0.0000
0.0000 0.0000 4.9914
! theoretical density: 5.2 Mg/m³
! energy relative to the elements, uncorrected: 82 meV/atom


Record 18
! TlAsSeBr2 GGA-PBE optimized geometry; values from VASP
&SYSTEM
  ibrav = 0, nat = 5, ntyp = 4
/
ATOMIC_SPECIES
As 74.92 As.upf
Tl 204.38 Tl.upf
Se 78.96 Se.upf
Br 79.90 Br.upf
ATOMIC_POSITIONS crystal
As 0.0000 0.0000 0.0000
Tl 0.5000 0.5000 0.5000
Se 0.0000 0.0000 0.5000
Br 0.0000 0.5000 0.0000
Br 0.5000 0.0000 0.0000
CELL_PARAMETERS angstrom
-2.0702 -5.0967 -0.2361
3.7199 -1.6822 3.6946
-3.1993 1.1265 3.7341
! theoretical density: 5.6 Mg/m³
! energy relative to the elements, uncorrected: -280 meV/atom


Record 19
! VAs2SeBr GGA-PBE optimized geometry; values from VASP
&SYSTEM
  ibrav = 0, nat = 5, ntyp = 4
/
ATOMIC_SPECIES
As 74.92 As.upf
Se 78.96 Se.upf
Br 79.90 Br.upf
V 50.94 V.upf
ATOMIC_POSITIONS crystal
As 0.0000 0.5000 0.0000
As 0.5000 0.0000 0.0000
Se 0.0000 0.0000 0.0000
Br 0.0000 0.0000 0.5000
V 0.5000 0.5000 0.5000
CELL_PARAMETERS angstrom
5.0225 0.0000 0.0000
0.0000 5.0225 0.0000
0.0000 0.0000 5.2522
! theoretical density: 4.5 Mg/m³
! energy relative to the elements, uncorrected: 1010 meV/atom


Record 20
! VAsSe2Br GGA-PBE optimized geometry; values from VASP
&SYSTEM
  ibrav = 0, nat = 5, ntyp = 4
/
ATOMIC_SPECIES
As 74.92 As.upf
Se 78.96 Se.upf
Br 79.90 Br.upf
V 50.94 V.upf
ATOMIC_POSITIONS crystal
As 0.0000 0.0000 0.5000
Se 0.0000 0.5000 0.0000
Se 0.5000 0.0000 0.0000
Br 0.5000 0.5000 0.5000
V 0.0000 0.0000 0.0000
CELL_PARAMETERS angstrom
4.6892 0.0000 0.0000
0.0000 4.6892 0.0000
0.0000 0.0000 5.1365
! theoretical density: 5.3 Mg/m³
! energy relative to the elements, uncorrected: 33 meV/atom


Record 21
! VAs2SeBr GGA-PBE optimized geometry; values from VASP
&SYSTEM
  ibrav = 0, nat = 5, ntyp = 4
/
ATOMIC_SPECIES
As 74.92 As.upf
Se 78.96 Se.upf
Br 79.90 Br.upf
V 50.94 V.upf
ATOMIC_POSITIONS crystal
As 0.0000 0.5000 0.0000
As 0.5000 0.0000 0.0000
Se 0.5000 0.5000 0.5000
Br 0.0000 0.0000 0.5000
V 0.0000 0.0000 0.0000
CELL_PARAMETERS angstrom
4.9110 0.0000 0.0000
0.0000 4.9110 0.0000
0.0000 0.0000 4.6483
! theoretical density: 5.3 Mg/m³
! energy relative to the elements, uncorrected: 306 meV/atom


Record 22
! VAs2SeBr GGA-PBE optimized geometry; values from VASP
&SYSTEM
  ibrav = 0, nat = 5, ntyp = 4
/
ATOMIC_SPECIES
As 74.92 As.upf
Se 78.96 Se.upf
Br 79.90 Br.upf
V 50.94 V.upf
ATOMIC_POSITIONS crystal
As 0.0000 0.5000 0.0000
As 0.5000 0.0000 0.0000
Se 0.0000 0.0000 0.5000
Br 0.0000 0.0000 0.0000
V 0.5000 0.5000 0.5000
CELL_PARAMETERS angstrom
-1.0479 -4.1439 -2.5421
2.8496 -2.6305 3.1133
-4.0739 -0.8281 3.0292
! theoretical density: 4.7 Mg/m³
! energy relative to the elements, uncorrected: 1480 meV/atom


Record 23
! VAsSe2Br GGA-PBE optimized geometry; values from VASP
&SYSTEM
  ibrav = 0, nat = 5, ntyp = 4
/
ATOMIC_SPECIES
As 74.92 As.upf
Se 78.96 Se.upf
Br 79.90 Br.upf
V 50.94 V.upf
ATOMIC_POSITIONS crystal
As 0.0000 0.0000 0.5000
Se 0.0000 0.5000 0.0000
Se 0.5000 0.0000 0.0000
Br 0.0000 0.0000 0.0000
V 0.5000 0.5000 0.5000
CELL_PARAMETERS angstrom
-1.0200 2.9956 -3.9639
-1.3234 -4.0642 -2.7309
-4.7503 0.4811 1.5860
! theoretical density: 4.7 Mg/m³
! energy relative to the elements, uncorrected: 1430 meV/atom


Record 24
! VAsSe2Br GGA-PBE optimized geometry; values from VASP
&SYSTEM
  ibrav = 0, nat = 5, ntyp = 4
/
ATOMIC_SPECIES
As 74.92 As.upf
Se 78.96 Se.upf
Br 79.90 Br.upf
V 50.94 V.upf
ATOMIC_POSITIONS crystal
As 0.5000 0.5000 0.5000
Se 0.0000 0.5000 0.0000
Se 0.5000 0.0000 0.0000
Br 0.0000 0.0000 0.5000
V 0.0000 0.0000 0.0000
CELL_PARAMETERS angstrom
-2.6246 -1.2493 3.9521
4.1191 -0.2656 2.6516
-0.4702 4.8291 1.2142
! theoretical density: 5.0 Mg/m³
! energy relative to the elements, uncorrected: 191 meV/atom


Record 25
! VAs2SeBr GGA-PBE optimized geometry; values from VASP
&SYSTEM
  ibrav = 0, nat = 5, ntyp = 4
/
ATOMIC_SPECIES
As 74.92 As.upf
Se 78.96 Se.upf
Br 79.90 Br.upf
V 50.94 V.upf
ATOMIC_POSITIONS crystal
As 0.0000 0.5000 0.0000
As 0.5000 0.0000 0.0000
Se 0.0000 0.0000 0.5000
Br 0.5000 0.5000 0.5000
V 0.0000 0.0000 0.0000
CELL_PARAMETERS angstrom
-2.5413 0.0829 4.1417
-4.1344 -0.3552 -2.5297
0.2494 -4.6574 0.2463
! theoretical density: 5.4 Mg/m³
! energy relative to the elements, uncorrected: 85 meV/atom


Record 26
! VAsSe2Br GGA-PBE optimized geometry; values from VASP
&SYSTEM
  ibrav = 0, nat = 5, ntyp = 4
/
ATOMIC_SPECIES
As 74.92 As.upf
Se 78.96 Se.upf
Br 79.90 Br.upf
V 50.94 V.upf
ATOMIC_POSITIONS crystal
As 0.0000 0.0000 0.0000
Se 0.0000 0.5000 0.0000
Se 0.5000 0.0000 0.0000
Br 0.0000 0.0000 0.5000
V 0.5000 0.5000 0.5000
CELL_PARAMETERS angstrom
-3.7971 -3.4316 -0.3916
0.0403 -0.6259 5.0945
-3.3876 3.6936 0.4806
! theoretical density: 4.6 Mg/m³
! energy relative to the elements, uncorrected: 579 meV/atom


Record 27
! AsWSe2Br GGA-PBE optimized geometry; values from VASP
&SYSTEM
  ibrav = 0, nat = 5, ntyp = 4
/
ATOMIC_SPECIES
As 74.92 As.upf
Se 78.96 Se.upf
Br 79.90 Br.upf
W 183.84 W.upf
ATOMIC_POSITIONS crystal
As 0.5000 0.5000 0.5000
Se 0.0000 0.5000 0.0000
Se 0.5000 0.0000 0.0000
Br 0.0000 0.0000 0.5000
W 0.0000 0.0000 0.0000
CELL_PARAMETERS angstrom
4.9414 0.0000 0.0000
0.0000 4.9414 0.0000
0.0000 0.0000 5.1768
! theoretical density: 6.5 Mg/m³
! energy relative to the elements, uncorrected: 605 meV/atom


Record 28
! AsWSe2Br GGA-PBE optimized geometry; values from VASP
&SYSTEM
  ibrav = 0, nat = 5, ntyp = 4
/
ATOMIC_SPECIES
As 74.92 As.upf
Se 78.96 Se.upf
Br 79.90 Br.upf
W 183.84 W.upf
ATOMIC_POSITIONS crystal
As 0.0000 0.0000 0.5000
Se 0.0000 0.5000 0.0000
Se 0.5000 0.0000 0.0000
Br 0.5000 0.5000 0.5000
W 0.0000 0.0000 0.0000
CELL_PARAMETERS angstrom
-1.7054 2.8623 3.5346
3.2686 -1.8536 3.0781
3.3329 3.6454 -1.3440
! theoretical density: 6.8 Mg/m³
! energy relative to the elements, uncorrected: 262 meV/atom


Record 29
! AsWSe2Br GGA-PBE optimized geometry; values from VASP
&SYSTEM
  ibrav = 0, nat = 5, ntyp = 4
/
ATOMIC_SPECIES
As 74.92 As.upf
Se 78.96 Se.upf
Br 79.90 Br.upf
W 183.84 W.upf
ATOMIC_POSITIONS crystal
As 0.0000 0.0000 0.5000
Se 0.0000 0.5000 0.0000
Se 0.5000 0.0000 0.0000
Br 0.0000 0.0000 0.0000
W 0.5000 0.5000 0.5000
CELL_PARAMETERS angstrom
5.0635 0.0000 0.0000
0.0000 5.0635 0.0000
0.0000 0.0000 4.9918
! theoretical density: 6.4 Mg/m³
! energy relative to the elements, uncorrected: 1853 meV/atom


| no. | electronic total energy (eV per cell) |
| --- | --- |
| 1 | -17.6 |
| 2 | -19.2 |
| 3 | -13.3 |
| 4 | -13.0 |
| 5 | -12.2 |
| 6 | -14.3 |
| 7 | -16.0 |
| 8 | -16.9 |
| 9 | -20.1 |
| 10 | -19.7 |
| 11 | -21.8 |
| 12 | -19.3 |
| 13 | -21.5 |
| 14 | -15.4 |
| 15 | -11.5 |
| 16 | -10.9 |
| 17 | -13.4 |
| 18 | -15.2 |
| 19 | -18.5 |
| 20 | -22.2 |
| 21 | -22.0 |
| 22 | -16.2 |
| 23 | -15.3 |
| 24 | -21.5 |
| 25 | -23.2 |
| 26 | -19.5 |
| 27 | -23.2 |
| 28 | -24.9 |
| 29 | -17.0 |